LiEuPuGa (GGA-PBE, relaxed); energy of formation from the pure elements = -0.006 eV/atom; M_tot = 1.1 μB/f.u.; density of states at the Fermi level = 15.92 states/eV per cell
1.0
0.000 3.708 3.708
3.708 0.000 3.708
3.708 3.708 0.000
Li Eu Pu Ga
1 1 1 1
Cartesian
0.000 0.000 0.000 Li
5.562 5.562 5.562 Eu
1.854 1.854 1.854 Pu
3.708 3.708 3.708 Ga